The following is a DFT calculation (PBE+U) of crystalline MnCu3F at its relaxed geometry.

ρ = 4.312 g cm⁻³
Energy above the lowest structure with this stoichiometry = 722 meV per atom

```
data_MnCu3F
_symmetry_space_group_name_H-M 'P m -3 m'
_symmetry_Int_Tables_number 221
_symmetry_space_group_name_Hall '-P 4 2 3'
_cell_length_a 4.671
_cell_length_b 4.671
_cell_length_c 4.671
_cell_angle_alpha 90.00
_cell_angle_beta 90.00
_cell_angle_gamma 90.00
loop_
_atom_site_label
_atom_site_fract_x
_atom_site_fract_y
_atom_site_fract_z
Mn1 0.000 0.000 0.000
Cu1 0.000 0.000 0.500
F1 0.500 0.500 0.500
```